This record from Alexandria describes a relaxed YTm2Pd crystal. The functional is PBE.

Lattice parameters (Å, degrees): 3.538 3.538 8.352 90.00 90.00 90.00
Space group P4/mmm (No. 123)
One atom of each set of equivalent atoms:
Y 0.000 0.000 0.000 (multiplicity 1)
Tm 0.500 0.500 0.303 (multiplicity 2)
Pd 0.000 0.000 0.500 (multiplicity 1)

Values from the calculation:
Energy above the most stable polymorph in this dataset: 51 meV/atom
Total energy: -5.59 eV/atom
Formation energy from the elements: -441 meV per atom
Magnetization: 0.00 μB per formula unit